This record from Alexandria describes an optimized crystal structure of MgFeAu2. The functional is GGA-PBE.

a b c (Å): 2.979 2.979 26.468
angles (deg): 90.00 90.00 120.00
Element x y z (fractional)
Mg  0.000  0.000  0.000
Mg  0.333  0.667  0.667
Mg  0.667  0.333  0.333
Fe  0.000  0.000  0.500
Fe  0.333  0.667  0.167
Fe  0.667  0.333  0.833
Au  0.000  0.000  0.248
Au  0.000  0.000  0.752
Au  0.333  0.667  0.419
Au  0.333  0.667  0.914
Au  0.667  0.333  0.086
Au  0.667  0.333  0.581

Values from the calculation:
ΔH_f (0 K) in eV/atom: -0.01